Below is a relaxed Ba3ErCr2O8 crystal, with properties calculated at the GGA+U level.

Cell lengths 5.968, 5.968, 7.640 Å; angles 90.00, 90.00, 120.00 degrees
Sites, in units of the cell vectors:
Cr  0.667  0.333  0.791
Cr  0.333  0.667  0.209
O  0.828  0.657  0.677
O  0.828  0.172  0.677
O  0.667  0.333  0.023
O  0.657  0.828  0.323
O  0.172  0.828  0.323
O  0.343  0.172  0.677
O  0.172  0.343  0.323
O  0.333  0.667  0.977
Ba  0.667  0.333  0.353
Ba  0.000  0.000  0.000
Ba  0.333  0.667  0.647
Er  0.000  0.000  0.500

Raw total energy ... -0.260 Ha/atom